--- a ---
Crystalline Ca2HBr at its relaxed geometry, computed with GGA-PBE. Values from VASP.

The structure in Quantum ESPRESSO input format:
```
&SYSTEM
  ibrav = 0, nat = 8, ntyp = 3
/
ATOMIC_SPECIES
Ca 40.08 Ca.upf
H 1.01 H.upf
Br 79.90 Br.upf
CELL_PARAMETERS angstrom
-3.577 3.577 3.818
3.577 -3.577 3.818
3.577 3.577 -3.818
ATOMIC_POSITIONS angstrom
Ca 1.789 1.222 -0.955
Ca 2.355 -1.789 4.773
Ca 1.789 2.355 2.864
Ca 1.222 5.366 0.955
H 0.000 0.000 0.000
H 0.000 3.577 1.909
Br 3.577 0.000 1.909
Br 0.000 0.000 3.818
```

Calculated values
The calculation puts the magnetic moment at 0.00 μB/cell. For the density of states at the Fermi level, the calculation gives 0.131 states/eV/atom. The value obtained for the calculated density is 2.737 g/cm³. As for the space group: No. 122.


--- b ---
Crystalline Ca2HBr at its relaxed geometry, computed with GGA-PBE. Values from VASP.

The structure in Quantum ESPRESSO input format:
```
&SYSTEM
  ibrav = 0, nat = 4, ntyp = 3
/
ATOMIC_SPECIES
Ca 40.08 Ca.upf
H 1.01 H.upf
Br 79.90 Br.upf
CELL_PARAMETERS angstrom
1.923 1.110 7.314
-1.923 1.110 7.314
0.000 -2.221 7.314
ATOMIC_POSITIONS angstrom
Ca 0.000 0.000 5.037
Ca 0.000 0.000 16.904
H 0.000 0.000 10.970
Br 0.000 0.000 0.000
```

Calculated values
The calculation puts the magnetic moment at 0.00 μB/cell. For the density of states at the Fermi level, the calculation gives 0.370 states/eV/atom. The value obtained for the calculated density is 2.854 g/cm³. As for the space group: No. 166.


--- c ---
Crystalline Ca2HBr at its relaxed geometry, computed with GGA-PBE. Values from VASP.

The structure in Quantum ESPRESSO input format:
```
&SYSTEM
  ibrav = 0, nat = 4, ntyp = 3
/
ATOMIC_SPECIES
Ca 40.08 Ca.upf
H 1.01 H.upf
Br 79.90 Br.upf
CELL_PARAMETERS angstrom
0.000 3.669 3.669
3.669 0.000 3.669
3.669 3.669 0.000
ATOMIC_POSITIONS angstrom
Ca 1.834 1.834 1.834
Ca 5.503 5.503 5.503
H 0.000 0.000 0.000
Br 3.669 3.669 3.669
```

Calculated values
The calculation puts the magnetic moment at 0.00 μB/cell. For the density of states at the Fermi level, the calculation gives 0.560 states/eV/atom. The value obtained for the calculated density is 2.708 g/cm³. As for the space group: No. 225.


Here are the energies relative to the best structure, in meV/atom: a 42; b 0; c 448.


--- a ---
Crystalline CaH3Br at its relaxed geometry, computed with GGA-PBE. Values from VASP.

The structure in Quantum ESPRESSO input format:
```
&SYSTEM
  ibrav = 0, nat = 5, ntyp = 3
/
ATOMIC_SPECIES
Ca 40.08 Ca.upf
H 1.01 H.upf
Br 79.90 Br.upf
CELL_PARAMETERS angstrom
4.179 0.000 0.000
0.000 4.179 0.000
0.000 0.000 4.179
ATOMIC_POSITIONS angstrom
Ca 0.000 0.000 0.000
H 0.000 2.089 2.089
H 2.089 0.000 2.089
H 2.089 2.089 0.000
Br 2.089 2.089 2.089
```

Calculated values
The calculation puts the magnetic moment at 0.00 μB/cell. For the density of states at the Fermi level, the calculation gives 0.236 states/eV/atom. The value obtained for the calculated density is 2.799 g/cm³. As for the space group: No. 221.


--- b ---
Crystalline CaH3Br at its relaxed geometry, computed with GGA-PBE. Values from VASP.

The structure in Quantum ESPRESSO input format:
```
&SYSTEM
  ibrav = 0, nat = 5, ntyp = 3
/
ATOMIC_SPECIES
Ca 40.08 Ca.upf
H 1.01 H.upf
Br 79.90 Br.upf
CELL_PARAMETERS angstrom
4.198 0.000 0.000
0.000 4.198 0.000
0.000 0.000 4.198
ATOMIC_POSITIONS angstrom
Ca 0.000 0.000 0.000
H 0.000 0.000 2.099
H 0.000 2.099 0.000
H 2.099 0.000 0.000
Br 2.099 2.099 2.099
```

Calculated values
The calculation puts the magnetic moment at 1.54 μB/cell. For the density of states at the Fermi level, the calculation gives 0.562 states/eV/atom. The value obtained for the calculated density is 2.762 g/cm³. As for the space group: No. 221.


Here are the energies relative to the best structure, in meV/atom: a 307; b 0.


--- a ---
Crystalline CaHSe2Br at its relaxed geometry, computed with GGA-PBE. Values from VASP.

The structure in Quantum ESPRESSO input format:
```
&SYSTEM
  ibrav = 0, nat = 5, ntyp = 4
/
ATOMIC_SPECIES
Ca 40.08 Ca.upf
H 1.01 H.upf
Se 78.96 Se.upf
Br 79.90 Br.upf
CELL_PARAMETERS angstrom
5.832 0.000 0.000
0.000 5.832 0.000
0.000 0.000 5.662
ATOMIC_POSITIONS angstrom
Ca 0.000 0.000 0.000
H 2.916 2.916 2.831
Se 0.000 2.916 0.000
Se 2.916 0.000 0.000
Br 0.000 0.000 2.831
```

Calculated values
The calculation puts the magnetic moment at 4.00 μB/cell. For the density of states at the Fermi level, the calculation gives 0.418 states/eV/atom. The value obtained for the calculated density is 2.405 g/cm³. As for the space group: No. 123.


--- b ---
Crystalline CaHSe2Br at its relaxed geometry, computed with GGA-PBE. Values from VASP.

The structure in Quantum ESPRESSO input format:
```
&SYSTEM
  ibrav = 0, nat = 5, ntyp = 4
/
ATOMIC_SPECIES
Ca 40.08 Ca.upf
H 1.01 H.upf
Se 78.96 Se.upf
Br 79.90 Br.upf
CELL_PARAMETERS angstrom
4.152 0.000 0.000
0.000 4.152 0.000
0.000 0.000 5.990
ATOMIC_POSITIONS angstrom
Ca 0.000 0.000 0.000
H 2.076 2.076 2.995
Se 0.000 2.076 2.995
Se 2.076 0.000 2.995
Br 2.076 2.076 0.000
```

Calculated values
The calculation puts the magnetic moment at 0.00 μB/cell. For the density of states at the Fermi level, the calculation gives 0.215 states/eV/atom. The value obtained for the calculated density is 4.486 g/cm³. As for the space group: No. 123.


Here are the energies relative to the best structure, in meV/atom: a 700; b 0.


--- a ---
Crystalline CaHSeBr2 at its relaxed geometry, computed with GGA-PBE. Values from VASP.

The structure in Quantum ESPRESSO input format:
```
&SYSTEM
  ibrav = 0, nat = 5, ntyp = 4
/
ATOMIC_SPECIES
Ca 40.08 Ca.upf
H 1.01 H.upf
Se 78.96 Se.upf
Br 79.90 Br.upf
CELL_PARAMETERS angstrom
5.354 0.000 0.000
0.000 5.354 0.000
0.000 0.000 3.766
ATOMIC_POSITIONS angstrom
Ca 0.000 0.000 0.000
H 2.677 2.677 1.883
Se 2.677 2.677 0.000
Br 0.000 2.677 1.883
Br 2.677 0.000 1.883
```

Calculated values
The calculation puts the magnetic moment at 0.00 μB/cell. For the density of states at the Fermi level, the calculation gives 0.737 states/eV/atom. The value obtained for the calculated density is 4.305 g/cm³. As for the space group: No. 123.


--- b ---
Crystalline CaHSeBr2 at its relaxed geometry, computed with GGA-PBE. Values from VASP.

The structure in Quantum ESPRESSO input format:
```
&SYSTEM
  ibrav = 0, nat = 5, ntyp = 4
/
ATOMIC_SPECIES
Ca 40.08 Ca.upf
H 1.01 H.upf
Se 78.96 Se.upf
Br 79.90 Br.upf
CELL_PARAMETERS angstrom
5.681 0.000 0.000
0.000 5.681 0.000
0.000 0.000 5.970
ATOMIC_POSITIONS angstrom
Ca 0.000 0.000 0.000
H 2.840 2.840 2.985
Se 0.000 0.000 2.985
Br 0.000 2.840 0.000
Br 2.840 0.000 0.000
```

Calculated values
The calculation puts the magnetic moment at 2.99 μB/cell. For the density of states at the Fermi level, the calculation gives 0.435 states/eV/atom. The value obtained for the calculated density is 2.412 g/cm³. As for the space group: No. 123.


Here are the energies relative to the best structure, in meV/atom: a 0; b 266.


--- a ---
Crystalline CaHfSeBr2 at its relaxed geometry, computed with GGA-PBE. Values from VASP.

The structure in Quantum ESPRESSO input format:
```
&SYSTEM
  ibrav = 0, nat = 5, ntyp = 4
/
ATOMIC_SPECIES
Ca 40.08 Ca.upf
Hf 178.49 Hf.upf
Se 78.96 Se.upf
Br 79.90 Br.upf
CELL_PARAMETERS angstrom
5.295 0.000 0.000
0.000 5.295 0.000
0.000 0.000 5.748
ATOMIC_POSITIONS angstrom
Ca 0.000 0.000 0.000
Hf 2.648 2.648 2.874
Se 0.000 0.000 2.874
Br 0.000 2.648 0.000
Br 2.648 0.000 0.000
```

Calculated values
The calculation puts the magnetic moment at 1.83 μB/cell. For the density of states at the Fermi level, the calculation gives 0.851 states/eV/atom. The value obtained for the calculated density is 4.712 g/cm³. As for the space group: No. 123.


--- b ---
Crystalline CaHfSeBr2 at its relaxed geometry, computed with GGA-PBE. Values from VASP.

The structure in Quantum ESPRESSO input format:
```
&SYSTEM
  ibrav = 0, nat = 5, ntyp = 4
/
ATOMIC_SPECIES
Ca 40.08 Ca.upf
Hf 178.49 Hf.upf
Se 78.96 Se.upf
Br 79.90 Br.upf
CELL_PARAMETERS angstrom
5.235 0.000 0.000
0.000 5.235 0.000
0.000 0.000 5.255
ATOMIC_POSITIONS angstrom
Ca 0.000 0.000 0.000
Hf 2.618 2.618 2.628
Se 2.618 2.618 0.000
Br 0.000 2.618 2.628
Br 2.618 0.000 2.628
```

Calculated values
The calculation puts the magnetic moment at 0.00 μB/cell. For the density of states at the Fermi level, the calculation gives 0.576 states/eV/atom. The value obtained for the calculated density is 5.273 g/cm³. As for the space group: No. 123.


Here are the energies relative to the best structure, in meV/atom: a 624; b 0.


--- a ---
Crystalline CaHgBr2 at its relaxed geometry, computed with GGA-PBE. Values from VASP.

The structure in Quantum ESPRESSO input format:
```
&SYSTEM
  ibrav = 0, nat = 4, ntyp = 3
/
ATOMIC_SPECIES
Ca 40.08 Ca.upf
Hg 200.59 Hg.upf
Br 79.90 Br.upf
CELL_PARAMETERS angstrom
2.782 1.606 4.285
-2.782 1.606 4.285
0.000 -3.213 4.285
ATOMIC_POSITIONS angstrom
Ca 0.000 0.000 0.000
Hg 0.000 0.000 6.427
Br 0.000 0.000 3.140
Br 0.000 0.000 9.715
```

Calculated values
The calculation puts the magnetic moment at 0.00 μB/cell. For the density of states at the Fermi level, the calculation gives 0.000 states/eV/atom. The value obtained for the calculated density is 5.788 g/cm³. As for the space group: No. 166.


--- b ---
Crystalline CaHgBr2 at its relaxed geometry, computed with GGA-PBE. Values from VASP.

The structure in Quantum ESPRESSO input format:
```
&SYSTEM
  ibrav = 0, nat = 4, ntyp = 3
/
ATOMIC_SPECIES
Ca 40.08 Ca.upf
Hg 200.59 Hg.upf
Br 79.90 Br.upf
CELL_PARAMETERS angstrom
3.691 -2.130 0.000
3.691 2.130 0.000
-2.325 0.000 10.229
ATOMIC_POSITIONS angstrom
Ca 0.000 0.000 0.000
Hg 2.529 0.000 5.114
Br 0.136 0.000 8.657
Br 4.922 0.000 1.572
```

Calculated values
The calculation puts the magnetic moment at 0.00 μB/cell. For the density of states at the Fermi level, the calculation gives 0.000 states/eV/atom. The value obtained for the calculated density is 4.134 g/cm³. As for the space group: No. 12.


Here are the energies relative to the best structure, in meV/atom: a 321; b 0.


--- a ---
Crystalline CaHgBr2 at its relaxed geometry, computed with GGA-PBE. Values from VASP.

The structure in Quantum ESPRESSO input format:
```
&SYSTEM
  ibrav = 0, nat = 4, ntyp = 3
/
ATOMIC_SPECIES
Ca 40.08 Ca.upf
Hg 200.59 Hg.upf
Br 79.90 Br.upf
CELL_PARAMETERS angstrom
4.150 0.000 0.000
0.000 4.150 0.000
0.000 0.000 9.771
ATOMIC_POSITIONS angstrom
Ca 0.000 0.000 0.000
Hg 2.075 2.075 4.689
Br 0.000 0.000 7.220
Br 2.075 2.075 0.760
```

Calculated values
The calculation puts the magnetic moment at 0.00 μB/cell. The value obtained for the calculated density is 3.953 g/cm³. As for the space group: No. 99.


--- b ---
Crystalline CaHgBr2 at its relaxed geometry, computed with GGA-PBE. Values from VASP.

The structure in Quantum ESPRESSO input format:
```
&SYSTEM
  ibrav = 0, nat = 4, ntyp = 3
/
ATOMIC_SPECIES
Ca 40.08 Ca.upf
Hg 200.59 Hg.upf
Br 79.90 Br.upf
CELL_PARAMETERS angstrom
10.122 -1.921 0.000
10.122 1.921 0.000
-0.835 0.000 4.052
ATOMIC_POSITIONS angstrom
Ca 0.000 0.000 0.000
Hg 14.871 0.000 0.998
Br 7.331 0.000 3.659
Br 10.906 0.000 2.277
```

Calculated values
The calculation puts the magnetic moment at 0.00 μB/cell. For the density of states at the Fermi level, the calculation gives 0.000 states/eV/atom. The value obtained for the calculated density is 4.219 g/cm³. As for the space group: No. 8.


Here are the energies relative to the best structure, in meV/atom: a 162; b 0.


--- a ---
Crystalline CaHgBr2 at its relaxed geometry, computed with GGA-PBE. Values from VASP.

The structure in Quantum ESPRESSO input format:
```
&SYSTEM
  ibrav = 0, nat = 4, ntyp = 3
/
ATOMIC_SPECIES
Ca 40.08 Ca.upf
Hg 200.59 Hg.upf
Br 79.90 Br.upf
CELL_PARAMETERS angstrom
3.677 0.000 0.000
0.000 3.676 0.000
-0.083 0.000 10.171
ATOMIC_POSITIONS angstrom
Ca 0.000 0.000 0.000
Hg -0.041 0.000 5.085
Br 1.821 1.838 1.686
Br 1.773 1.838 8.484
```

Calculated values
The calculation puts the magnetic moment at 0.00 μB/cell. The value obtained for the calculated density is 4.838 g/cm³. As for the space group: No. 10.


--- b ---
Crystalline CaHgBr2 at its relaxed geometry, computed with GGA-PBE. Values from VASP.

The structure in Quantum ESPRESSO input format:
```
&SYSTEM
  ibrav = 0, nat = 4, ntyp = 3
/
ATOMIC_SPECIES
Ca 40.08 Ca.upf
Hg 200.59 Hg.upf
Br 79.90 Br.upf
CELL_PARAMETERS angstrom
3.936 0.000 0.000
0.000 3.936 0.000
0.000 0.000 7.866
ATOMIC_POSITIONS angstrom
Ca 0.000 0.000 0.000
Hg 1.968 1.968 1.838
Br 0.000 0.000 3.173
Br 1.968 1.968 6.306
```

Calculated values
The calculation puts the magnetic moment at 0.00 μB/cell. The value obtained for the calculated density is 5.458 g/cm³. As for the space group: No. 99.


--- c ---
Crystalline CaHgBr2 at its relaxed geometry, computed with GGA-PBE. Values from VASP.

The structure in Quantum ESPRESSO input format:
```
&SYSTEM
  ibrav = 0, nat = 4, ntyp = 3
/
ATOMIC_SPECIES
Ca 40.08 Ca.upf
Hg 200.59 Hg.upf
Br 79.90 Br.upf
CELL_PARAMETERS angstrom
5.194 0.000 0.000
0.000 4.548 0.000
-2.591 0.000 7.015
ATOMIC_POSITIONS angstrom
Ca 0.000 0.000 0.000
Hg -0.004 2.274 2.659
Br 2.597 0.000 1.078
Br 2.612 2.274 5.354
```

Calculated values
The calculation puts the magnetic moment at 0.00 μB/cell. For the density of states at the Fermi level, the calculation gives 0.000 states/eV/atom. The value obtained for the calculated density is 4.013 g/cm³. As for the space group: No. 6.


Here are the energies relative to the best structure, in meV/atom: a 28; b 280; c 0.